[1]
## AlHgPt2 (PBE-GGA)

Data for a relaxed structure of AlHgPt2.

Energy relative to the lowest polymorph listed for this composition: 1.59 eV/f.u.

abc: 4.555 4.555 4.555
angles: 60.00 60.00 60.00
Element x y z (fractional)
Al: 0.000 0.000 0.000
Hg: 0.750 0.750 0.750
Pt: 0.250 0.250 0.250
Pt: 0.500 0.500 0.500

***

[2]
## HoTm2Au4 (PBE-GGA)

Data for a relaxed structure of HoTm2Au4.

abc: 6.046 6.046 6.046
angles: 109.26 109.26 109.89
Element x y z (fractional)
Ho: 0.000 0.000 0.000
Tm: 0.000 0.500 0.500
Tm: 0.500 0.000 0.500
Au: 0.000 0.000 0.500
Au: 0.000 0.500 0.000
Au: 0.500 0.000 0.000
Au: 0.500 0.500 0.500

***

[3]
## LuPu2U (PBE-GGA)

Data for a relaxed structure of LuPu2U.

abc: 10.565 10.565 10.565
angles: 18.02 18.02 18.02
Element x y z (fractional)
Lu: 0.000 0.000 0.000
Pu: 0.242 0.242 0.242
Pu: 0.758 0.758 0.758
U: 0.500 0.500 0.500

***

[4]
## Be2Pd2Pt (PBE-GGA)

Data for a relaxed structure of Be2Pd2Pt.

Energy relative to the lowest polymorph listed for this composition: 0.31 eV/f.u.

abc: 6.030 6.030 3.415
angles: 90.00 90.00 90.00
Element x y z (fractional)
Be: 0.135 0.365 0.000
Be: 0.365 0.865 0.000
Be: 0.635 0.135 0.000
Be: 0.865 0.635 0.000
Pd: 0.165 0.665 0.500
Pd: 0.335 0.165 0.500
Pd: 0.665 0.835 0.500
Pd: 0.835 0.335 0.500
Pt: 0.000 0.000 0.000
Pt: 0.500 0.500 0.000

***

ΔH_f (0 K) (eV per atom)
-0.19 -0.69 0.25 -0.51